DFT (PBE-GGA) results for a geometry-optimized Ba2BeBi structure.

Cell lengths 5.9411, 5.9411, 5.9411 Å; angles 60.00, 60.00, 60.00 degrees
Closest atoms and distances in Å follow each position.
Fractional positions:
Bi 0.5000 0.5000 0.5000  8 Ba 3.64
Ba 0.2500 0.2500 0.2500  4 Bi 3.64, 4 Be 3.64
Be 0.0000 0.0000 0.0000  8 Ba 3.64
Ba 0.7500 0.7500 0.7500  4 Be 3.64, 4 Bi 3.64

- volume (Å³/cell) = 148.3
- DFT total energy (Ry per atom) = -0.217
- relative energy among the computed polymorphs (meV per atom) = 0
- E_form (eV/atom) = -0.0925


DFT (PBE-GGA) results for a geometry-optimized AcCuSi2Rh structure.

Cell lengths 4.2891, 4.2891, 5.9004 Å; angles 111.31, 111.31, 90.00 degrees
Closest atoms and distances in Å follow each position.
Fractional positions:
Cu 0.7500 0.2500 0.5000  4 Si 2.47
Ac 0.0000 0.0000 0.0000  8 Si 3.30, 4 Cu 3.32, 4 Rh 3.32
Si 0.3716 0.3716 0.7432  2 Rh 2.47, 2 Cu 2.47, 1 Si 2.60
Rh 0.2500 0.7500 0.5000  4 Si 2.47
Si 0.6284 0.6284 0.2568  2 Cu 2.47, 2 Rh 2.47, 1 Si 2.60

- volume (Å³/cell) = 93.1
- DFT total energy (Ry per atom) = -0.438
- energy relative to the elements, uncorrected (kJ/mol of formula units) = -325.1


DFT (PBE-GGA) results for a geometry-optimized RbMg2In structure.

Cell lengths 3.5027, 3.5027, 12.1355 Å; angles 81.70, 81.70, 60.00 degrees
Closest atoms and distances in Å follow each position.
Fractional positions:
Mg 0.0988 0.0988 0.7036  3 In 3.17, 6 Mg 3.50
Rb 0.0000 0.0000 0.0000  6 Rb 3.50, 2 Mg 3.55
Mg 0.9012 0.9012 0.2964  3 In 3.17, 6 Mg 3.50
In 0.5000 0.5000 0.5000  6 Mg 3.17, 6 In 3.50

- volume (Å³/cell) = 127.1
- DFT total energy (Ry per atom) = -0.108
- E_form (eV/atom) = 0.2575


DFT (PBE-GGA) results for a geometry-optimized ScBeZn2 structure.

Cell lengths 2.9999, 2.9999, 6.6564 Å; angles 90.00, 90.00, 90.00 degrees
Closest atoms and distances in Å follow each position.
Fractional positions:
Zn 0.5000 0.5000 0.2809  4 Be 2.43, 4 Zn 2.70
Zn 0.0000 0.0000 0.0296  8 Zn 2.70-3.00, 1 Be 2.87, 4 Sc 2.92
Sc 0.5000 0.5000 0.7291  4 Be 2.77, 5 Zn 2.92-2.98, 4 Sc 3.00
Be 0.0000 0.0000 0.4604  4 Zn 2.43

- volume (Å³/cell) = 59.9
- DFT total energy (Ry per atom) = -0.236
- E_form (eV/atom) = -0.0551


DFT (PBE-GGA) results for a geometry-optimized Tb12Pm2Mg structure.

Cell lengths 6.6903, 6.6903, 24.4378 Å; angles 94.54, 85.46, 63.60 degrees
Closest atoms and distances in Å follow each position.
Fractional positions:
Tb 0.5567 0.3814 0.1933  6 Tb 3.27-3.60, 1 Pm 3.63
Pm 0.0136 0.4864 0.7138  8 Tb 3.46-3.73, 2 Pm 3.49-3.63
Tb 0.0336 0.9617 0.6731  6 Tb 3.27-3.62, 4 Pm 3.46-3.66
Tb 0.7497 0.7503 0.1486  1 Mg 3.33, 6 Tb 3.46-3.71, 2 Pm 3.59-3.64
Pm 0.4936 0.0064 0.7330  2 Pm 3.49-3.63, 7 Tb 3.63-3.69
Tb 0.1186 0.9433 0.1933  6 Tb 3.27-3.60, 1 Pm 3.63
Tb 0.1131 0.8417 0.9344  3 Mg 3.35-3.60, 8 Tb 3.42-3.75
Mg 0.5469 0.9531 0.9834  1 Mg 3.09, 5 Tb 3.32-3.35
Tb 0.7503 0.7497 0.8514  1 Mg 3.33, 6 Tb 3.46-3.71, 2 Pm 3.59-3.64
Tb 0.6729 0.8271 0.4212  8 Tb 3.33-3.67
Tb 0.3514 0.1486 0.5692  6 Tb 3.31-3.67
Tb 0.3378 0.6436 0.5563  10 Tb 3.23-3.53
Tb 0.2333 0.2667 0.8943  2 Mg 3.32-3.33, 8 Tb 3.37-3.71
Tb 0.5383 0.4664 0.6731  6 Tb 3.27-3.62, 4 Pm 3.46-3.66
Tb 0.8564 0.1622 0.5563  10 Tb 3.23-3.53
Tb 0.1622 0.8564 0.4437  10 Tb 3.23-3.53
Tb 0.6583 0.3869 0.9344  3 Mg 3.35-3.60, 8 Tb 3.42-3.75
Mg 0.9531 0.5469 0.0166  1 Mg 3.09, 5 Tb 3.32-3.35
Tb 0.4664 0.5383 0.3269  6 Tb 3.27-3.62, 4 Pm 3.46-3.66
Tb 0.8417 0.1131 0.0656  3 Mg 3.35-3.60, 8 Tb 3.42-3.75
Tb 0.3869 0.6583 0.0656  3 Mg 3.35-3.60, 8 Tb 3.42-3.75
Tb 0.3814 0.5567 0.8067  6 Tb 3.27-3.60, 1 Pm 3.63
Pm 0.4864 0.0136 0.2862  8 Tb 3.46-3.73, 2 Pm 3.49-3.63
Tb 0.6436 0.3378 0.4437  10 Tb 3.23-3.53
Tb 0.8271 0.6729 0.5788  8 Tb 3.33-3.67
Tb 0.9433 0.1186 0.8067  6 Tb 3.27-3.60, 1 Pm 3.63
Tb 0.2667 0.2333 0.1057  2 Mg 3.32-3.33, 8 Tb 3.37-3.71
Tb 0.1486 0.3514 0.4308  6 Tb 3.31-3.67
Tb 0.9617 0.0336 0.3269  6 Tb 3.27-3.62, 4 Pm 3.46-3.66
Pm 0.0064 0.4936 0.2670  2 Pm 3.49-3.63, 7 Tb 3.63-3.69

- volume (Å³/cell) = 968.7
- DFT total energy (Ry per atom) = -0.319
- E_form (eV/atom) = 0.1032


DFT (PBE-GGA) results for a geometry-optimized Ag2HgBPt structure.

Cell lengths 5.1799, 5.1591, 5.1799 Å; angles 90.00, 90.00, 90.00 degrees
Closest atoms and distances in Å follow each position.
Fractional positions:
Ag 0.5000 0.0000 0.0000  2 Pt 2.59
B 0.5000 0.5000 0.5000  8 Ag 3.66, 4 Hg 3.66
Hg 0.0000 0.5000 0.0000  2 Pt 2.58
Ag 0.0000 0.0000 0.5000  2 Pt 2.59
Pt 0.0000 0.0000 0.0000  2 Hg 2.58, 4 Ag 2.59

- volume (Å³/cell) = 138.4
- DFT total energy (Ry per atom) = -0.169
- E_form (eV/atom) = 1.4450


Sequential D(E_F) output: 1.142 0.681 0.396 0.462 1.357 0.361 states/eV/atom